# RbZnCu3, relaxed, DFT PBE
data_RbZnCu3
_chemical_formula_sum 'Rb1 Zn1 Cu3'
_symmetry_space_group_name_H-M 'P m -3 m'
_symmetry_Int_Tables_number 221
_symmetry_space_group_name_Hall '-P 4 2 3'
_cell_length_a 5.623
_cell_length_b 5.623
_cell_length_c 5.623
_cell_angle_alpha 90.00
_cell_angle_beta 90.00
_cell_angle_gamma 90.00
loop_
_atom_site_label
_atom_site_type_symbol
_atom_site_fract_x
_atom_site_fract_y
_atom_site_fract_z
Rb1 Rb 0.000 0.000 0.000
Zn1 Zn 0.500 0.500 0.500
Cu1 Cu 0.000 0.000 0.500
# DFT total energy ... -5.7 eV per cell
# Calculated volume ... 35.57 Å³ per atom
# Calculated density ... 3.19 Mg/m³
# Energy above the lowest structure with this stoichiometry ... 1268.2 meV/atom
# D(E_F) ... 8.73 states/eV/f.u.
# Formation energy from the elements ... 1.761 eV per atom


# SrPmNi2, relaxed, DFT PBE
data_SrPmNi2
_chemical_formula_sum 'Sr1 Pm1 Ni2'
_symmetry_space_group_name_H-M 'P 4/m m m'
_symmetry_Int_Tables_number 123
_symmetry_space_group_name_Hall '-P 4 2'
_cell_length_a 3.558
_cell_length_b 3.558
_cell_length_c 7.131
_cell_angle_alpha 90.00
_cell_angle_beta 90.00
_cell_angle_gamma 90.00
loop_
_atom_site_label
_atom_site_type_symbol
_atom_site_fract_x
_atom_site_fract_y
_atom_site_fract_z
Sr1 Sr 0.000 0.000 0.000
Pm1 Pm 0.000 0.000 0.500
Ni1 Ni 0.500 0.500 0.299
# DFT total energy ... -18.4 eV per cell
# Calculated volume ... 22.57 Å³ per atom
# Calculated density ... 6.44 Mg/m³
# D(E_F) ... 1.54 states/eV/f.u.
# Formation energy from the elements ... -0.109 eV per atom


# Ag2AuBr, relaxed, DFT PBE
data_Ag2AuBr
_chemical_formula_sum 'Ag4 Au2 Br2'
_symmetry_space_group_name_H-M 'C 1 2/m 1'
_symmetry_Int_Tables_number 12
_symmetry_space_group_name_Hall '-C 2y'
_cell_length_a 6.550
_cell_length_b 3.838
_cell_length_c 7.545
_cell_angle_alpha 90.00
_cell_angle_beta 107.25
_cell_angle_gamma 90.00
loop_
_atom_site_label
_atom_site_type_symbol
_atom_site_fract_x
_atom_site_fract_y
_atom_site_fract_z
Ag1 Ag 0.245 0.000 0.236
Au1 Au 0.000 0.500 0.000
Br1 Br 0.000 0.000 0.500
# DFT total energy ... -21.0 eV per cell
# Calculated volume ... 22.64 Å³ per atom
# E_form (uncorrected) ... 3 kJ per mole of atoms
# Calculated density ... 9.03 Mg/m³
# Energy above the lowest structure with this stoichiometry ... 75.1 meV/atom
# D(E_F) ... 0.85 states/eV/f.u.


Please write out number 3 again, unchanged.
# Ag2AuBr, relaxed, DFT PBE
data_Ag2AuBr
_chemical_formula_sum 'Ag4 Au2 Br2'
_symmetry_space_group_name_H-M 'C 1 2/m 1'
_symmetry_Int_Tables_number 12
_symmetry_space_group_name_Hall '-C 2y'
_cell_length_a 6.550
_cell_length_b 3.838
_cell_length_c 7.545
_cell_angle_alpha 90.00
_cell_angle_beta 107.25
_cell_angle_gamma 90.00
loop_
_atom_site_label
_atom_site_type_symbol
_atom_site_fract_x
_atom_site_fract_y
_atom_site_fract_z
Ag1 Ag 0.245 0.000 0.236
Au1 Au 0.000 0.500 0.000
Br1 Br 0.000 0.000 0.500
# DFT total energy ... -21.0 eV per cell
# Calculated volume ... 22.64 Å³ per atom
# E_form (uncorrected) ... 3 kJ per mole of atoms
# Calculated density ... 9.03 Mg/m³
# Energy above the lowest structure with this stoichiometry ... 75.1 meV/atom
# D(E_F) ... 0.85 states/eV/f.u.